# CoSnSO, relaxed, DFT PBE with a Hubbard U
data_CoSnSO
_chemical_formula_sum 'Co2 Sn2 S2 O2'
_cell_length_a 3.514
_cell_length_b 3.514
_cell_length_c 10.673
_cell_angle_alpha 90.00
_cell_angle_beta 90.00
_cell_angle_gamma 90.00
_symmetry_space_group_name_H-M 'P 1'
_symmetry_Int_Tables_number 1
_symmetry_space_group_name_Hall 'P 1'
loop_
_atom_site_label
_atom_site_fract_x
_atom_site_fract_y
_atom_site_fract_z
Co1 0.250 0.750 0.000
Co2 0.750 0.250 0.000
Sn1 0.250 0.250 0.375
Sn2 0.750 0.750 0.625
S1 0.250 0.250 0.886
S2 0.750 0.750 0.114
O1 0.250 0.250 0.573
O2 0.750 0.750 0.427
# crystal system	tetragonal
# VASP energy	-5.068	eV/atom
# space group	P4/nmm (129)